SmAl2TcO8 | PBE | optimized geometry

a b c (Å): 4.648 4.642 6.313
angles (deg): 90.00 90.00 88.29
Positions (direct):
O: 0.790 0.212 0.793
O: 0.790 0.212 0.207
O: 0.297 0.296 0.000
O: 0.703 0.704 0.000
O: 0.668 0.670 0.500
O: 0.332 0.330 0.500
O: 0.210 0.788 0.207
O: 0.210 0.788 0.793
Al: 0.500 0.500 0.747
Al: 0.500 0.500 0.253
Tc: 0.000 0.000 0.000
Sm: 0.000 0.000 0.500

Calculated values
Magnetization: 0.0107 μB/atom
Formation energy (no corrections): -2237 meV per atom
D(E_F): 3.0 states/eV/f.u.